The following is a PBE calculation of a relaxed structure of DyEr, from Alexandria. Values from VASP.

Values from the calculation:
**Spin magnetization**: 0.00 μB/cell
**Total energy**: -4.446 eV/atom
**Energy of formation from the pure elements**: 0.136 eV/atom
**E above lowest polymorph**: 134 meV/atom

Structure (Quantum ESPRESSO input):
```
&SYSTEM
  ibrav = 0, nat = 2, ntyp = 2
/
ATOMIC_SPECIES
Dy 162.50 Dy.upf
Er 167.26 Er.upf
CELL_PARAMETERS angstrom
-3.9280 -0.5070 0.2630
-0.1334 -0.9633 -3.8483
0.5554 -3.8171 0.9363
ATOMIC_POSITIONS crystal
Dy 0.0000 0.0000 0.0000
Er 0.5000 0.5000 0.5000
```